Entry 1:
# Cs3UPa2As6

An optimized crystal structure of Cs3UPa2As6 (PBE, Alexandria via LeMat-Bulk).

Properties
- SG = C2/m
- density of states at the Fermi level (states/eV/cell) = 1.442
- total energy (eV per formula unit) = -69.27

Lattice parameters (Å, degrees): 7.4741 7.4741 8.7077 98.22 98.22 120.00
Last column: nearest neighbours and their distance in Å.
Fractional positions:
As 0.9439 0.6124 0.8315  1 U 2.85, 2 Pa 2.87
Cs 0.1672 0.8328 0.5000  6 As 3.72-3.73
Pa 0.6666 0.3334 0.0000  6 As 2.87
Pa 0.3334 0.6666 0.0000  6 As 2.87
Cs 0.5000 0.5000 0.5000  6 As 3.72-3.73
As 0.3876 0.0561 0.1685  1 U 2.85, 2 Pa 2.87
Cs 0.8328 0.1672 0.5000  6 As 3.72-3.73
As 0.2752 0.2752 0.8313  1 U 2.85, 2 Pa 2.87
U 0.0000 0.0000 0.0000  6 As 2.85
As 0.6124 0.9439 0.8315  1 U 2.85, 2 Pa 2.87
As 0.7248 0.7248 0.1687  1 U 2.85, 2 Pa 2.87
As 0.0561 0.3876 0.1685  1 U 2.85, 2 Pa 2.87


Entry 2:
# MgAs2Ru

An optimized crystal structure of MgAs2Ru (PBE, Alexandria via LeMat-Bulk).

Properties
- SG = P4mm
- density of states at the Fermi level (states/eV/cell) = 1.287
- total energy (eV per formula unit) = -20.76

Lattice parameters (Å, degrees): 3.0373 3.0373 7.8875 90.00 90.00 90.00
Last column: nearest neighbours and their distance in Å.
Fractional positions:
As 0.5000 0.5000 0.2812  4 Mg 2.92, 4 As 3.04
Ru 0.5000 0.5000 0.7625  4 As 2.50
Mg 0.0000 0.0000 0.5314  4 Ru 2.82, 5 As 2.92-3.10, 4 Mg 3.04
As 0.0000 0.0000 0.9249  4 Ru 2.50


Entry 3:
# CaMg5Hg6

An optimized crystal structure of CaMg5Hg6 (PBE, Alexandria via LeMat-Bulk).

Properties
- SG = P2/m
- density of states at the Fermi level (states/eV/cell) = 3.905
- total energy (eV per formula unit) = -15.19

Lattice parameters (Å, degrees): 4.9517 7.4453 7.6868 90.00 108.18 90.00
Last column: nearest neighbours and their distance in Å.
Fractional positions:
Mg 0.6680 0.0000 0.3404  8 Hg 3.02-3.16, 1 Mg 3.37
Mg 0.3342 0.5000 0.6685  8 Hg 3.00-3.07
Hg 0.8299 0.2575 0.6592  7 Mg 3.00-3.14, 1 Ca 3.14
Hg 0.1701 0.2575 0.3408  7 Mg 3.00-3.14, 1 Ca 3.14
Hg 0.1701 0.7425 0.3408  7 Mg 3.00-3.14, 1 Ca 3.14
Mg 0.0000 0.5000 0.0000  8 Hg 3.05-3.07
Ca 0.0000 0.0000 0.0000  8 Hg 3.14-3.15, 2 Mg 3.50
Hg 0.8299 0.7425 0.6592  7 Mg 3.00-3.14, 1 Ca 3.14
Hg 0.5000 0.7382 0.0000  6 Mg 3.00-3.16, 2 Ca 3.15
Hg 0.5000 0.2618 0.0000  6 Mg 3.00-3.16, 2 Ca 3.15
Mg 0.6658 0.5000 0.3315  8 Hg 3.00-3.07
Mg 0.3320 0.0000 0.6596  8 Hg 3.02-3.16, 1 Mg 3.37


Entry 4:
# HoB4Pt12

An optimized crystal structure of HoB4Pt12 (PBE, Alexandria via LeMat-Bulk).

Properties
- SG = Im-3
- density of states at the Fermi level (states/eV/cell) = 5.484
- total energy (eV per formula unit) = -110.11

Lattice parameters (Å, degrees): 6.8968 6.8968 6.8968 109.47 109.47 109.47
Last column: nearest neighbours and their distance in Å.
Fractional positions:
Pt 0.3218 0.5006 0.1788  2 B 2.15
B 0.0000 0.0000 0.5000  6 Pt 2.15
Pt 0.1788 0.6782 0.8570  2 B 2.15
Pt 0.6782 0.8570 0.1788  2 B 2.15
B 0.0000 0.5000 0.0000  6 Pt 2.15
B 0.5000 0.5000 0.5000  6 Pt 2.15
Pt 0.4994 0.8212 0.6782  2 B 2.15
Pt 0.8212 0.6782 0.4994  2 B 2.15
Pt 0.8212 0.3218 0.1430  2 B 2.15
Ho 0.0000 0.0000 0.0000  12 Pt 2.93
Pt 0.1430 0.8212 0.3218  2 B 2.15
Pt 0.3218 0.1430 0.8212  2 B 2.15
Pt 0.1788 0.3218 0.5006  2 B 2.15
Pt 0.8570 0.1788 0.6782  2 B 2.15
B 0.5000 0.0000 0.0000  6 Pt 2.15
Pt 0.6782 0.4994 0.8212  2 B 2.15
Pt 0.5006 0.1788 0.3218  2 B 2.15